[1]
# CuSiS2N

An optimized crystal structure of CuSiS2N (PBE, Alexandria).

Output
For the energy above the most stable polymorph in this dataset, the calculation gives 550 meV/atom. For the total magnetization, the calculation gives 1.24 μB per formula unit. As for the space-group type: No. 123. Its total energy is -4.199 eV per atom. For the calculated density, the calculation gives 3.56 Mg/m³.

Geometry as extended XYZ:
```
5
Lattice="4.712 0.000 0.000 0.000 4.712 0.000 0.000 0.000 3.571" Properties=species:S:1:pos:R:3 pbc="T T T"
Cu 0.000 0.000 0.000
Si 2.356 2.356 1.786
S 0.000 2.356 0.000
S 2.356 0.000 0.000
N 0.000 0.000 1.786
```

[2]
# CuSiSN2

An optimized crystal structure of CuSiSN2 (PBE, Alexandria).

Output
For the energy above the most stable polymorph in this dataset, the calculation gives 0 meV/atom. For the total magnetization, the calculation gives 0.00 μB per formula unit. As for the space-group type: No. 123. Its total energy is -5.583 eV per atom. For the calculated density, the calculation gives 3.55 Mg/m³.

Geometry as extended XYZ:
```
5
Lattice="3.375 0.000 0.000 0.000 3.375 0.000 0.000 0.000 6.228" Properties=species:S:1:pos:R:3 pbc="T T T"
Cu 0.000 0.000 0.000
Si 1.687 1.687 3.114
S 1.687 1.687 0.000
N 0.000 1.687 3.114
N 1.687 0.000 3.114
```

[3]
# CuSiSN2

An optimized crystal structure of CuSiSN2 (PBE, Alexandria).

Output
For the energy above the most stable polymorph in this dataset, the calculation gives 1042 meV/atom. For the total magnetization, the calculation gives 3.22 μB per formula unit. As for the space-group type: No. 123. Its total energy is -4.541 eV per atom. For the calculated density, the calculation gives 3.38 Mg/m³.

Geometry as extended XYZ:
```
5
Lattice="3.642 0.000 0.000 0.000 3.642 0.000 0.000 0.000 5.615" Properties=species:S:1:pos:R:3 pbc="T T T"
Cu 0.000 0.000 0.000
Si 0.000 0.000 2.807
S 1.821 1.821 2.807
N 0.000 1.821 0.000
N 1.821 0.000 0.000
```

[4]
# CuSiS2N

An optimized crystal structure of CuSiS2N (PBE, Alexandria).

Output
For the energy above the most stable polymorph in this dataset, the calculation gives 0 meV/atom. For the total magnetization, the calculation gives 0.00 μB per formula unit. As for the space-group type: No. 123. Its total energy is -4.749 eV per atom. For the calculated density, the calculation gives 3.77 Mg/m³.

Geometry as extended XYZ:
```
5
Lattice="4.801 0.000 0.000 0.000 4.801 0.000 0.000 0.000 3.241" Properties=species:S:1:pos:R:3 pbc="T T T"
Cu 0.000 0.000 0.000
Si 2.400 2.400 1.620
S 0.000 2.400 1.620
S 2.400 0.000 1.620
N 2.400 2.400 0.000
```